# 1
# Ac6Ni2PtCl3 | Alexandria via LeMat-Bulk | PBE-GGA | relaxed
data_Ac6Ni2PtCl3
_cell_length_a 20.1730
_cell_length_b 4.3707
_cell_length_c 9.3690
_cell_angle_alpha 90.00
_cell_angle_beta 109.29
_cell_angle_gamma 90.00
_space_group_name_H-M_alt 'C 1 2/m 1'
_space_group_IT_number 12
_space_group_name_Hall '-C 2y'
loop_
_atom_site_label
_atom_site_type_symbol
_atom_site_fract_x
_atom_site_fract_y
_atom_site_fract_z
Ac1 Ac 0.0132 0.0000 0.2299
Ac2 Ac 0.1584 0.5000 0.1143
Ac3 Ac 0.1791 0.5000 0.5557
Ni1 Ni 0.1676 0.0000 0.3350
Pt1 Pt 0.0000 0.5000 0.0000
Cl1 Cl 0.0000 0.5000 0.5000
Cl2 Cl 0.1689 0.0000 0.8350
# DFT total energy in eV/atom: -5.084
# Formation energy (no corrections) in meV/atom: -1101.6



# 2
# Ac8NiPt3Cl4 | Alexandria via LeMat-Bulk | PBE-GGA | relaxed
data_Ac8NiPt3Cl4
_cell_length_a 15.2700
_cell_length_b 8.8191
_cell_length_c 9.4163
_cell_angle_alpha 90.00
_cell_angle_beta 122.80
_cell_angle_gamma 90.00
_space_group_name_H-M_alt 'C 1 2/m 1'
_space_group_IT_number 12
_space_group_name_Hall '-C 2y'
loop_
_atom_site_label
_atom_site_type_symbol
_atom_site_fract_x
_atom_site_fract_y
_atom_site_fract_z
Ac1 Ac 0.0144 0.2463 0.2975
Ac2 Ac 0.2319 0.0000 0.7025
Ac3 Ac 0.2353 0.5000 0.7056
Ni1 Ni 0.0000 0.0000 0.5000
Pt1 Pt 0.0000 0.5000 0.5000
Pt2 Pt 0.2500 0.2500 0.5000
Cl1 Cl 0.0000 0.0000 0.0000
Cl2 Cl 0.0000 0.5000 0.0000
Cl3 Cl 0.2500 0.2500 0.0000
# DFT total energy in eV/atom: -5.323
# Formation energy (no corrections) in meV/atom: -1312.8



# 3
# Ac8Ni3PtCl4 | Alexandria via LeMat-Bulk | PBE-GGA | relaxed
data_Ac8Ni3PtCl4
_cell_length_a 8.6825
_cell_length_b 8.6825
_cell_length_c 23.7482
_cell_angle_alpha 90.00
_cell_angle_beta 90.00
_cell_angle_gamma 120.00
_space_group_name_H-M_alt 'R -3 m'
_space_group_IT_number 166
_space_group_name_Hall '-R 3 2"'
loop_
_atom_site_label
_atom_site_type_symbol
_atom_site_fract_x
_atom_site_fract_y
_atom_site_fract_z
Ac1 Ac 0.0000 0.0000 0.2329
Ac2 Ac 0.0051 0.5025 0.7660
Ni1 Ni 0.0000 0.5000 0.5000
Pt1 Pt 0.0000 0.0000 0.5000
Cl1 Cl 0.0000 0.0000 0.0000
Cl2 Cl 0.0000 0.5000 0.0000
# DFT total energy in eV/atom: -5.039
# Formation energy (no corrections) in meV/atom: -1061.8



# 4
# Ac8Ni3RhCl4 | Alexandria via LeMat-Bulk | PBE-GGA | relaxed
data_Ac8Ni3RhCl4
_cell_length_a 8.6156
_cell_length_b 8.6156
_cell_length_c 23.8409
_cell_angle_alpha 90.00
_cell_angle_beta 90.00
_cell_angle_gamma 120.00
_space_group_name_H-M_alt 'R -3 m'
_space_group_IT_number 166
_space_group_name_Hall '-R 3 2"'
loop_
_atom_site_label
_atom_site_type_symbol
_atom_site_fract_x
_atom_site_fract_y
_atom_site_fract_z
Ac1 Ac 0.0000 0.0000 0.2329
Ac2 Ac 0.0015 0.5008 0.7662
Ni1 Ni 0.0000 0.5000 0.5000
Rh1 Rh 0.0000 0.0000 0.5000
Cl1 Cl 0.0000 0.0000 0.0000
Cl2 Cl 0.0000 0.5000 0.0000
# DFT total energy in eV/atom: -5.078
# Formation energy (no corrections) in meV/atom: -1018.8